--- P ---
Rb2In2Ag PBE-GGA optimized geometry; size of the total moment = 0.00 μB per formula unit
1.0
-5.0542 4.2532 -3.0059
0.4365 -5.8006 -4.3396
-5.8803 -3.8082 4.4988
Rb In Ag
4 4 2
Direct
0.8064 0.1936 0.5000
0.1936 0.8064 0.0000
0.1936 0.8064 0.5000
0.8064 0.1936 0.0000
0.6622 0.6622 0.5811
0.3378 0.3378 0.0811
0.6622 0.6622 0.9189
0.3378 0.3378 0.4189
0.6348 0.6348 0.2500
0.3652 0.3652 0.7500

***

--- Q ---
Rb2In2Ag PBE-GGA optimized geometry; size of the total moment = 0.00 μB per formula unit
1.0
-0.8207 4.3253 -2.6456
-3.2666 -2.5008 -3.0751
-8.1708 2.7945 2.1176
In Rb Ag
2 2 1
Direct
0.5850 0.5850 0.8300
0.4150 0.4150 0.1700
0.2500 0.7500 0.5000
0.7500 0.2500 0.5000
0.0000 0.0000 0.0000

***

--- R ---
Rb2In2Ag PBE-GGA optimized geometry; size of the total moment = 0.00 μB per formula unit
1.0
7.5993 0.0000 0.0000
0.0000 7.5993 0.0000
0.0000 0.0000 6.3287
Rb In Ag
4 4 2
Direct
0.6836 0.8164 0.5000
0.8164 0.3164 0.5000
0.3164 0.1836 0.5000
0.1836 0.6836 0.5000
0.8640 0.6360 0.0000
0.3640 0.8640 0.0000
0.1360 0.3640 0.0000
0.6360 0.1360 0.0000
0.0000 0.0000 0.0000
0.5000 0.5000 0.0000

***

Computed relative energies in units of kJ/mol of atoms: P 0.0; Q 42.4; R 5.2

***

--- P ---
InRe2Ag2 PBE-GGA optimized geometry; size of the total moment = 0.00 μB per formula unit
1.0
8.3824 0.0000 0.0000
0.0000 8.3824 0.0000
0.0000 0.0000 2.7583
Re In Ag
4 2 4
Direct
0.4023 0.0977 0.5000
0.9023 0.4023 0.5000
0.0977 0.5977 0.5000
0.5977 0.9023 0.5000
0.0000 0.0000 0.0000
0.5000 0.5000 0.0000
0.6919 0.1919 0.0000
0.3081 0.8081 0.0000
0.8081 0.6919 0.0000
0.1919 0.3081 0.0000

***

--- Q ---
InRe2Ag2 PBE-GGA optimized geometry; size of the total moment = 0.00 μB per formula unit
1.0
3.5938 0.0000 0.0000
0.0000 3.5938 0.0000
1.7969 1.7969 7.4549
Re Ag In
2 2 1
Direct
0.7500 0.2500 0.5000
0.2500 0.7500 0.5000
0.5989 0.5989 0.8021
0.4011 0.4011 0.1979
0.0000 0.0000 0.0000

***

Computed relative energies in units of kJ/mol of atoms: P 15.4; Q 0.0

***

--- P ---
In2Ag2S PBE-GGA optimized geometry; size of the total moment = 0.00 μB per formula unit
1.0
-0.1324 -2.7428 -6.9356
7.1405 -2.0497 0.6743
-1.1807 -3.6332 1.4593
Ag In S
4 4 2
Direct
0.8691 0.3691 0.5000
0.3691 0.1309 0.5000
0.1309 0.6309 0.5000
0.6309 0.8691 0.5000
0.1698 0.3302 0.0000
0.8302 0.6698 0.0000
0.6698 0.1698 0.0000
0.3302 0.8302 0.0000
0.0000 0.0000 0.0000
0.5000 0.5000 0.0000

***

--- Q ---
In2Ag2S PBE-GGA optimized geometry; size of the total moment = 0.00 μB per formula unit
1.0
-2.0233 0.8876 -6.7648
1.3215 -6.8714 -1.2968
-4.1418 -1.0054 1.1068
In Ag S
4 4 2
Direct
0.1651 0.6651 0.5000
0.8349 0.3349 0.5000
0.6651 0.8349 0.5000
0.3349 0.1651 0.5000
0.1403 0.3597 0.0000
0.8597 0.6403 0.0000
0.6403 0.1403 0.0000
0.3597 0.8597 0.0000
0.5000 0.5000 0.0000
0.0000 0.0000 0.0000

***

Computed relative energies in units of kJ/mol of atoms: P 8.3; Q 0.0

***

--- P ---
InAg3S PBE-GGA optimized geometry; size of the total moment = 0.00 μB per formula unit
1.0
-1.5590 -1.0178 -4.8363
-2.9166 -3.9045 1.7619
-3.9899 3.2519 0.6018
Ag S In
3 1 1
Direct
0.0000 0.5000 0.0000
0.5000 0.0000 0.0000
0.0000 0.0000 0.5000
0.5000 0.5000 0.5000
0.0000 0.0000 0.0000

***

--- Q ---
InAg3S PBE-GGA optimized geometry; size of the total moment = 0.00 μB per formula unit
1.0
-2.6525 -1.9839 -3.6689
-2.7041 -2.4925 3.3027
-3.1756 3.7794 0.2523
Ag In S
3 1 1
Direct
0.5000 0.0000 0.0000
0.0000 0.0000 0.5000
0.0000 0.5000 0.0000
0.5000 0.5000 0.5000
0.0000 0.0000 0.0000

***

Computed relative energies in units of kJ/mol of atoms: P 60.5; Q 0.0

***

--- P ---
InAgSbTe2 PBE-GGA optimized geometry; size of the total moment = 0.22 μB per formula unit
1.0
-1.0948 -5.6244 -0.3668
3.8212 -0.4659 -4.2601
4.0108 -1.0227 3.7094
Te Sb Ag In
2 1 1 1
Direct
0.0000 0.5000 0.0000
0.5000 0.0000 0.0000
0.0000 0.0000 0.5000
0.5000 0.5000 0.5000
0.0000 0.0000 0.0000

***

--- Q ---
InAgSbTe2 PBE-GGA optimized geometry; size of the total moment = 0.00 μB per formula unit
1.0
-3.6318 0.3410 -4.4009
-0.7035 -5.6709 0.1412
-4.1170 0.5965 3.4437
In Sb Te Ag
1 1 2 1
Direct
0.5000 0.5000 0.5000
0.0000 0.0000 0.5000
0.0000 0.5000 0.0000
0.5000 0.0000 0.0000
0.0000 0.0000 0.0000

***

Computed relative energies in units of kJ/mol of atoms: P 30.5; Q 0.0

***

--- P ---
ScIn3Ag PBE-GGA optimized geometry; size of the total moment = 0.00 μB per formula unit
1.0
5.2349 0.0000 0.0000
0.0000 5.2349 0.0000
0.0000 0.0000 5.2349
Ag Sc In
1 1 3
Direct
0.0000 0.0000 0.0000
0.5000 0.5000 0.5000
0.0000 0.0000 0.5000
0.0000 0.5000 0.0000
0.5000 0.0000 0.0000

***

--- Q ---
ScIn3Ag PBE-GGA optimized geometry; size of the total moment = 0.70 μB per formula unit
1.0
-4.3923 2.5696 -2.2665
-3.0268 -4.6368 0.6089
-1.6057 1.7116 5.0521
In Ag Sc
3 1 1
Direct
0.0000 0.5000 0.0000
0.0000 0.0000 0.5000
0.5000 0.0000 0.0000
0.5000 0.5000 0.5000
0.0000 0.0000 0.0000

***

Computed relative energies in units of kJ/mol of atoms: P 0.0; Q 27.7

***

--- P ---
ScInAg3 PBE-GGA optimized geometry; size of the total moment = 0.00 μB per formula unit
1.0
-2.1929 -2.6787 -3.5344
2.9697 -3.8313 1.0421
-6.3216 -3.9628 3.4769
Ag In Sc
6 2 2
Direct
0.6598 0.8444 0.3997
0.2541 0.8444 0.2113
0.4577 0.8444 0.8076
0.1570 0.3444 0.4033
0.9534 0.3444 0.8069
0.7513 0.3444 0.2149
0.8562 0.8444 0.0093
0.5550 0.3444 0.6052
0.3508 0.3444 0.0147
0.0602 0.8444 0.5999

***

--- Q ---
ScInAg3 PBE-GGA optimized geometry; size of the total moment = 0.00 μB per formula unit
1.0
-3.9933 3.3836 0.5976
-3.4360 -3.9308 -0.7041
-0.0063 -0.9235 5.1865
Sc Ag In
1 3 1
Direct
0.0000 0.0000 0.0000
0.5000 0.0000 0.0000
0.0000 0.5000 0.0000
0.0000 0.0000 0.5000
0.5000 0.5000 0.5000

***

--- R ---
ScInAg3 PBE-GGA optimized geometry; size of the total moment = 0.11 μB per formula unit
1.0
-1.4069 -2.5730 0.9774
-0.2098 -1.5993 -4.5121
12.8603 -5.5458 3.9120
Ag Sc In
6 2 2
Direct
0.0000 0.2727 0.5455
0.0000 0.0773 0.1546
0.0000 0.7273 0.4545
0.5000 0.4533 0.9066
0.5000 0.5467 0.0934
0.0000 0.9227 0.8454
0.5000 0.8188 0.6376
0.5000 0.1812 0.3624
0.0000 0.6312 0.2625
0.0000 0.3688 0.7375

***

Computed relative energies in units of kJ/mol of atoms: P 0.0; Q 89.6; R 16.1